Compound: TmZrTe2
Source: Alexandria
Functional: PBE-GGA
Structure: relaxed

Summary:
E_form (uncorrected)   -836.1 meV/atom
SG   R-3m, No. 166
Calculated density   7989 kg/m³
Total energy   -5.66 eV per atom

Cell: 4.218 4.218 7.365 Å, 73.36 73.36 60.00°
Atoms (fractional coordinates):
Tm  0.500  0.500  0.500
Te  0.748  0.748  0.756
Zr  0.000  0.000  0.000
Te  0.252  0.252  0.244